Density functional theory data (GGA-PBE) for crystalline KGa3Ir at its relaxed geometry.

Values from the calculation:
Density: 6.22 g/cm³
E above lowest polymorph: 19 meV per atom

a b c (Å): 4.898 4.898 4.898
angles (deg): 90.00 90.00 90.00
Sites, in units of the cell vectors:
K: 0.000 0.000 0.000
Ga: 0.000 0.500 0.500
Ga: 0.500 0.000 0.500
Ga: 0.500 0.500 0.000
Ir: 0.500 0.500 0.500


Density functional theory data (GGA-PBE) for crystalline Li2LaAg2 at its relaxed geometry.

Values from the calculation:
Density: 5.48 g/cm³
E above lowest polymorph: 0 meV per atom

a b c (Å): 4.131 4.131 6.548
angles (deg): 90.00 90.00 90.00
Sites, in units of the cell vectors:
Li: 0.000 0.500 0.000
Li: 0.500 0.000 0.000
La: 0.000 0.000 0.500
Ag: 0.500 0.500 0.277
Ag: 0.500 0.500 0.723


Density functional theory data (GGA-PBE) for crystalline YVInS2 at its relaxed geometry.

Values from the calculation:
DFT total energy: -4.867 eV/atom
Density: 3.57 g/cm³

a b c (Å): 5.203 5.203 5.484
angles (deg): 90.00 90.00 90.00
Sites, in units of the cell vectors:
Y: 0.000 0.000 0.000
V: 0.000 0.000 0.500
In: 0.500 0.500 0.500
S: 0.000 0.500 0.000
S: 0.500 0.000 0.000


Density functional theory data (GGA-PBE) for crystalline LiNdLu2 at its relaxed geometry.

Values from the calculation:
Density: 7.39 g/cm³
E above lowest polymorph: 0 meV per atom

a b c (Å): 3.612 3.612 8.636
angles (deg): 90.00 90.00 90.00
Sites, in units of the cell vectors:
Li: 0.000 0.000 0.000
Nd: 0.000 0.000 0.500
Lu: 0.500 0.500 0.213
Lu: 0.500 0.500 0.787


Density functional theory data (GGA-PBE) for crystalline Ac3AlI3 at its relaxed geometry.

Values from the calculation:
DFT total energy: -3.947 eV/atom
Density: 6.03 g/cm³

a b c (Å): 11.589 11.589 11.589
angles (deg): 109.47 109.47 109.47
Sites, in units of the cell vectors:
Ac: 0.012 0.024 0.262
Ac: 0.012 0.488 0.750
Ac: 0.024 0.262 0.012
Ac: 0.238 0.262 0.750
Ac: 0.238 0.476 0.488
Ac: 0.262 0.012 0.024
Ac: 0.262 0.750 0.238
Ac: 0.476 0.488 0.238
Ac: 0.488 0.238 0.476
Ac: 0.488 0.750 0.012
Ac: 0.750 0.012 0.488
Ac: 0.750 0.238 0.262
Al: 0.000 0.250 0.500
Al: 0.250 0.250 0.250
Al: 0.250 0.500 0.000
Al: 0.500 0.000 0.250
I: 0.250 0.758 0.742
I: 0.250 0.992 0.508
I: 0.508 0.250 0.992
I: 0.508 0.758 0.515
I: 0.515 0.508 0.758
I: 0.742 0.250 0.758
I: 0.742 0.992 0.985
I: 0.758 0.515 0.508
I: 0.758 0.742 0.250
I: 0.985 0.742 0.992
I: 0.992 0.508 0.250
I: 0.992 0.985 0.742


Density functional theory data (GGA-PBE) for crystalline La2CdHg8 at its relaxed geometry.

Values from the calculation:
DFT total energy: -1.481 eV/atom
Density: 11.31 g/cm³

a b c (Å): 8.820 8.820 7.684
angles (deg): 115.71 115.71 33.33
Sites, in units of the cell vectors:
La: 0.211 0.211 0.209
La: 0.789 0.789 0.791
Cd: 0.500 0.500 0.500
Hg: 0.001 0.001 0.205
Hg: 0.148 0.148 0.651
Hg: 0.372 0.372 0.663
Hg: 0.374 0.374 0.081
Hg: 0.626 0.626 0.919
Hg: 0.628 0.628 0.337
Hg: 0.852 0.852 0.349
Hg: 0.999 0.999 0.795


Density functional theory data (GGA-PBE) for crystalline Nd3Hf at its relaxed geometry.

Values from the calculation:
Density: 8.20 g/cm³
E above lowest polymorph: 4 meV per atom

a b c (Å): 6.087 6.087 6.087
angles (deg): 131.52 131.52 70.99
Sites, in units of the cell vectors:
Nd: 0.000 0.000 0.000
Nd: 0.250 0.750 0.500
Nd: 0.750 0.250 0.500
Hf: 0.500 0.500 0.000


Density functional theory data (GGA-PBE) for crystalline PmHfTl at its relaxed geometry.

Values from the calculation:
DFT total energy: -5.636 eV/atom
Density: 10.88 g/cm³

a b c (Å): 3.386 3.386 16.221
angles (deg): 90.00 90.00 120.00
Sites, in units of the cell vectors:
Pm: 0.000 0.000 0.180
Pm: 0.000 0.000 0.820
Hf: 0.333 0.667 0.344
Hf: 0.333 0.667 0.656
Tl: 0.000 0.000 0.500
Tl: 0.333 0.667 0.000


Question: What is the density in the eighth record?
Answer: 10.88 g/cm³